No. 1
Entry from the Alexandria database: KCd2Sn4 after structural relaxation (PBE).

Properties
final energy: -19.26 eV per formula unit
total magnetization: 0.0 μB per cell
calculated formation energy: -0.046 eV/atom
space group: Cmmm (65)

abc: 8.582 8.582 4.973
angles: 90.00 90.00 143.85
Atoms (fractional coordinates):
K (0.000, 0.000, 0.000)
Cd (0.413, 0.587, 0.500)
Cd (0.587, 0.413, 0.500)
Sn (0.186, 0.814, 0.500)
Sn (0.303, 0.697, 0.000)
Sn (0.697, 0.303, 0.000)
Sn (0.814, 0.186, 0.500)

***

No. 2
Entry from the Alexandria database: K2Cd2Sn after structural relaxation (PBE).

Properties
final energy: -8.88 eV per formula unit
total magnetization: 0.0 μB per cell
calculated formation energy: -0.170 eV/atom
space group: Immm (71)

abc: 6.858 6.858 6.858
angles: 136.76 125.81 71.73
Atoms (fractional coordinates):
K (0.199, 0.199, 0.000)
K (0.801, 0.801, 0.000)
Cd (0.239, 0.500, 0.739)
Cd (0.761, 0.500, 0.261)
Sn (0.500, 0.000, 0.500)

***

No. 3
Entry from the Alexandria database: K2Cd3Sn5 after structural relaxation (PBE).

Properties
final energy: -26.28 eV per formula unit
total magnetization: 0.0 μB per cell
calculated formation energy: -0.132 eV/atom
space group: P-4m2 (115)

abc: 5.080 5.080 12.265
angles: 90.00 90.00 90.00
Atoms (fractional coordinates):
K (0.000, 0.500, 0.239)
K (0.500, 0.000, 0.761)
Cd (0.000, 0.000, 0.000)
Cd (0.000, 0.500, 0.875)
Cd (0.500, 0.000, 0.125)
Sn (0.000, 0.000, 0.500)
Sn (0.000, 0.500, 0.637)
Sn (0.500, 0.000, 0.363)
Sn (0.500, 0.500, 0.000)
Sn (0.500, 0.500, 0.500)

***

No. 4
Entry from the Alexandria database: KCdSn2 after structural relaxation (PBE).

Properties
final energy: -10.49 eV per formula unit
total magnetization: 0.0 μB per cell
calculated formation energy: -0.119 eV/atom
space group: Cmcm (63)

abc: 6.650 6.650 7.609
angles: 90.00 90.00 133.73
Atoms (fractional coordinates):
K (0.084, 0.916, 0.750)
K (0.916, 0.084, 0.250)
Cd (0.204, 0.796, 0.250)
Cd (0.796, 0.204, 0.750)
Sn (0.376, 0.624, 0.551)
Sn (0.376, 0.624, 0.949)
Sn (0.624, 0.376, 0.051)
Sn (0.624, 0.376, 0.449)

***

No. 5
Entry from the Alexandria database: KCd2Sn after structural relaxation (PBE).

Properties
final energy: -7.22 eV per formula unit
total magnetization: 0.0 μB per cell
calculated formation energy: -0.073 eV/atom
space group: P4/nmm (129)

abc: 4.669 4.669 11.557
angles: 90.00 90.00 90.00
Atoms (fractional coordinates):
K (0.250, 0.250, 0.233)
K (0.750, 0.750, 0.767)
Cd (0.250, 0.250, 0.936)
Cd (0.250, 0.750, 0.500)
Cd (0.750, 0.250, 0.500)
Cd (0.750, 0.750, 0.064)
Sn (0.250, 0.250, 0.659)
Sn (0.750, 0.750, 0.341)

***

No. 6
Entry from the Alexandria database: K2Cd3Sn5 after structural relaxation (PBE).

Properties
final energy: -26.56 eV per formula unit
total magnetization: 0.0 μB per cell
calculated formation energy: -0.160 eV/atom
space group: C2/c (15)

abc: 10.033 10.033 7.054
angles: 110.47 110.47 89.22
Atoms (fractional coordinates):
K (0.125, 0.374, 0.250)
K (0.374, 0.125, 0.750)
K (0.626, 0.875, 0.250)
K (0.875, 0.626, 0.750)
Cd (0.011, 0.260, 0.636)
Cd (0.260, 0.011, 0.136)
Cd (0.500, 0.500, 0.250)
Cd (0.500, 0.500, 0.750)
Cd (0.740, 0.989, 0.864)
Cd (0.989, 0.740, 0.364)
Sn (0.000, 0.000, 0.250)
Sn (0.000, 0.000, 0.750)
Sn (0.242, 0.487, 0.864)
Sn (0.250, 0.750, 0.750)
Sn (0.252, 0.748, 0.250)
Sn (0.487, 0.242, 0.364)
Sn (0.513, 0.758, 0.636)
Sn (0.748, 0.252, 0.750)
Sn (0.750, 0.250, 0.250)
Sn (0.758, 0.513, 0.136)

***

No. 7
Entry from the Alexandria database: KCd4Sn after structural relaxation (PBE).

Properties
final energy: -8.93 eV per formula unit
total magnetization: 0.0 μB per cell
calculated formation energy: -0.028 eV/atom
space group: F-43m (216)

abc: 6.132 6.132 6.132
angles: 60.00 60.00 60.00
Atoms (fractional coordinates):
K (0.000, 0.000, 0.000)
Cd (0.125, 0.625, 0.625)
Cd (0.625, 0.125, 0.625)
Cd (0.625, 0.625, 0.125)
Cd (0.625, 0.625, 0.625)
Sn (0.250, 0.250, 0.250)

***

No. 8
Entry from the Alexandria database: K2Cd5Sn after structural relaxation (PBE).

Properties
final energy: -11.51 eV per formula unit
total magnetization: 0.0 μB per cell
calculated formation energy: -0.092 eV/atom
space group: Cmcm (63)

abc: 9.460 9.460 10.351
angles: 90.00 90.00 147.92
Atoms (fractional coordinates):
K (0.000, 0.000, 0.000)
K (0.000, 0.000, 0.500)
K (0.201, 0.799, 0.750)
K (0.799, 0.201, 0.250)
Cd (0.188, 0.812, 0.106)
Cd (0.188, 0.812, 0.394)
Cd (0.350, 0.650, 0.019)
Cd (0.350, 0.650, 0.481)
Cd (0.401, 0.599, 0.750)
Cd (0.599, 0.401, 0.250)
Cd (0.650, 0.350, 0.519)
Cd (0.650, 0.350, 0.981)
Cd (0.812, 0.188, 0.606)
Cd (0.812, 0.188, 0.894)
Sn (0.439, 0.561, 0.250)
Sn (0.561, 0.439, 0.750)

***

No. 9
Entry from the Alexandria database: K3Cd4Sn4 after structural relaxation (PBE).

Properties
final energy: -24.64 eV per formula unit
total magnetization: 0.0 μB per cell
calculated formation energy: -0.153 eV/atom
space group: Immm (71)

abc: 15.224 15.224 15.224
angles: 161.33 161.32 26.53
Atoms (fractional coordinates):
K (0.000, 0.000, 0.000)
K (0.149, 0.649, 0.500)
K (0.851, 0.351, 0.500)
Cd (0.251, 0.251, 0.000)
Cd (0.404, 0.904, 0.500)
Cd (0.596, 0.096, 0.500)
Cd (0.749, 0.749, 0.000)
Sn (0.307, 0.807, 0.500)
Sn (0.452, 0.452, 0.000)
Sn (0.548, 0.548, 0.000)
Sn (0.693, 0.193, 0.500)

***

No. 10
Entry from the Alexandria database: K2Cd3Sn4 after structural relaxation (PBE).

Properties
final energy: -21.39 eV per formula unit
total magnetization: 0.0 μB per cell
calculated formation energy: -0.048 eV/atom
space group: Fmmm (69)

abc: 9.536 8.038 6.756
angles: 79.76 56.04 44.20
Atoms (fractional coordinates):
K (0.138, 0.138, 0.862)
K (0.862, 0.862, 0.138)
Cd (0.000, 0.000, 0.500)
Cd (0.500, 0.500, 0.000)
Cd (0.500, 0.500, 0.500)
Sn (0.161, 0.514, 0.486)
Sn (0.486, 0.839, 0.161)
Sn (0.514, 0.161, 0.839)
Sn (0.839, 0.486, 0.514)

***

No. 11
Entry from the Alexandria database: K2Cd5Sn3 after structural relaxation (PBE).

Properties
final energy: -19.82 eV per formula unit
total magnetization: 0.0 μB per cell
calculated formation energy: -0.105 eV/atom
space group: P-4m2 (115)

abc: 4.944 4.944 12.574
angles: 90.00 90.00 90.00
Atoms (fractional coordinates):
K (0.000, 0.500, 0.249)
K (0.500, 0.000, 0.751)
Cd (0.000, 0.000, 0.000)
Cd (0.000, 0.000, 0.500)
Cd (0.000, 0.500, 0.870)
Cd (0.500, 0.000, 0.130)
Cd (0.500, 0.500, 0.000)
Sn (0.000, 0.500, 0.638)
Sn (0.500, 0.000, 0.362)
Sn (0.500, 0.500, 0.500)

***

No. 12
Entry from the Alexandria database: K2Cd2Sn after structural relaxation (PBE).

Properties
final energy: -8.51 eV per formula unit
total magnetization: 0.0 μB per cell
calculated formation energy: -0.097 eV/atom
space group: P4/mbm (127)

abc: 7.703 7.703 5.837
angles: 90.00 90.00 90.00
Atoms (fractional coordinates):
K (0.184, 0.316, 0.000)
K (0.316, 0.816, 0.000)
K (0.684, 0.184, 0.000)
K (0.816, 0.684, 0.000)
Cd (0.134, 0.634, 0.500)
Cd (0.366, 0.134, 0.500)
Cd (0.634, 0.866, 0.500)
Cd (0.866, 0.366, 0.500)
Sn (0.000, 0.000, 0.500)
Sn (0.500, 0.500, 0.500)